No. 1
A relaxed structure of HW2S. Source: Alexandria, functional PBE-GGA.

abc: 4.0843 4.0843 4.0843
angles: 60.00 60.00 60.00
With the nearest neighbours (Å) after each atom.
Element x y z (fractional)
1 S 0.5000 0.5000 0.5000  8 W 2.50
2 H 0.0000 0.0000 0.0000  8 W 2.50
3 W 0.7500 0.7500 0.7500  4 S 2.50, 4 H 2.50
4 W 0.2500 0.2500 0.2500  4 S 2.50, 4 H 2.50

## Properties
Space-group type: Fm-3m (225)
E: -7.5372 eV/atom
ΔE to the lowest computed polymorph: 1.427 eV per formula unit

=====

No. 2
A relaxed structure of Th3Ge4Ru4. Source: Alexandria, functional PBE-GGA.

abc: 4.3232 4.2011 12.7610
angles: 99.47 99.75 90.00
With the nearest neighbours (Å) after each atom.
Element x y z (fractional)
1 Ru 0.8027 0.3027 0.6054  5 Ge 2.42-2.51
2 Ru 0.1973 0.6973 0.3946  5 Ge 2.42-2.51
3 Ru 0.4517 0.4517 0.9034  1 Ru 2.40, 2 Ge 2.51
4 Ru 0.5483 0.5483 0.0966  1 Ru 2.40, 2 Ge 2.51
5 Ge 0.9004 0.4004 0.8008  3 Ru 2.42-2.51
6 Ge 0.7486 0.7486 0.4972  4 Ru 2.49-2.51
7 Ge 0.0996 0.5996 0.1992  3 Ru 2.42-2.51
8 Ge 0.2514 0.2514 0.5028  4 Ru 2.49-2.51
9 Th 0.3542 0.8542 0.7084  6 Ru 3.20-3.27, 8 Ge 3.22-3.40
10 Th 0.0000 0.0000 0.0000  4 Ge 3.24, 8 Ru 3.24
11 Th 0.6458 0.1458 0.2916  6 Ru 3.20-3.27, 8 Ge 3.22-3.40

## Properties
Energy relative to the elements: -0.53 eV per atom
Space-group type: Immm (71)
E: -7.6047 eV/atom

=====

No. 3
A relaxed structure of TbY2Tl9. Source: Alexandria, functional PBE-GGA.

abc: 4.7740 4.7740 14.3178
angles: 90.00 90.00 90.00
With the nearest neighbours (Å) after each atom.
Element x y z (fractional)
1 Tl 0.5000 0.0000 0.5000  8 Tl 3.38, 4 Y 3.38
2 Tl 0.5000 0.5000 0.6668  8 Tl 3.37-3.38, 4 Y 3.38
3 Tl 0.5000 0.0000 0.1666  2 Tb 3.37, 8 Tl 3.37-3.38, 2 Y 3.38
4 Tl 0.0000 0.5000 0.1666  2 Tb 3.37, 8 Tl 3.37-3.38, 2 Y 3.38
5 Tl 0.5000 0.0000 0.8334  2 Tb 3.37, 8 Tl 3.37-3.38, 2 Y 3.38
6 Tl 0.0000 0.5000 0.5000  8 Tl 3.38, 4 Y 3.38
7 Tl 0.5000 0.5000 0.0000  8 Tl 3.37, 4 Tb 3.38
8 Tl 0.0000 0.5000 0.8334  2 Tb 3.37, 8 Tl 3.37-3.38, 2 Y 3.38
9 Tl 0.5000 0.5000 0.3332  8 Tl 3.37-3.38, 4 Y 3.38
10 Y 0.0000 0.0000 0.6668  12 Tl 3.38
11 Y 0.0000 0.0000 0.3332  12 Tl 3.38
12 Tb 0.0000 0.0000 0.0000  12 Tl 3.37-3.38

## Properties
Energy relative to the elements: -0.25 eV per atom
Space-group type: P4/mmm (123)
E: -3.4890 eV/atom

=====

No. 4
A relaxed structure of Pa2CuSi4Pt3. Source: Alexandria, functional PBE-GGA.

abc: 4.2098 4.2098 9.6999
angles: 90.00 90.00 90.00
With the nearest neighbours (Å) after each atom.
Element x y z (fractional)
1 Pt 0.0000 0.5000 0.1227  5 Si 2.40-2.42
2 Pt 0.5000 0.0000 0.8773  5 Si 2.40-2.42
3 Pt 0.0000 0.0000 0.5000  4 Si 2.45
4 Pa 0.0000 0.5000 0.7458  6 Pt 3.18-3.24, 2 Cu 3.18, 8 Si 3.18-3.24
5 Pa 0.5000 0.0000 0.2542  6 Pt 3.18-3.24, 2 Cu 3.18, 8 Si 3.18-3.24
6 Cu 0.5000 0.5000 0.5000  4 Si 2.45
7 Si 0.0000 0.5000 0.3699  3 Pt 2.40-2.45, 2 Cu 2.45
8 Si 0.0000 0.0000 0.0000  4 Pt 2.42
9 Si 0.5000 0.0000 0.6301  3 Pt 2.40-2.45, 2 Cu 2.45
10 Si 0.5000 0.5000 0.0000  4 Pt 2.42

## Properties
Space-group type: P-4m2 (115)
E: -7.1488 eV/atom
Raw formation energy: -858.6 meV per atom

=====

No. 5
A relaxed structure of Al2Zn4W. Source: Alexandria, functional PBE-GGA.

abc: 5.6626 5.6626 5.6626
angles: 122.38 129.45 80.16
With the nearest neighbours (Å) after each atom.
Element x y z (fractional)
1 Zn 0.0110 0.0818 0.6336  2 Al 2.49-2.62, 5 Zn 2.66-2.77
2 Zn 0.4482 0.3774 0.3664  2 Al 2.49-2.62, 5 Zn 2.66-2.77
3 Zn 0.5518 0.9182 0.9292  2 Al 2.49-2.62, 5 Zn 2.66-2.77
4 Zn 0.9890 0.6226 0.0708  2 Al 2.49-2.62, 5 Zn 2.66-2.77
5 Al 0.5000 0.2629 0.7629  4 Zn 2.49-2.62, 1 Al 2.59, 2 W 2.74
6 Al 0.5000 0.7371 0.2371  4 Zn 2.49-2.62, 1 Al 2.59, 2 W 2.74
7 W 0.0000 0.5000 0.5000  4 Al 2.74, 8 Zn 2.83-2.96

## Properties
Energy relative to the elements: 0.26 eV per atom
Space-group type: I222 (23)
E: -3.3917 eV/atom

=====

No. 6
A relaxed structure of In2FeTc. Source: Alexandria, functional PBE-GGA.

abc: 5.0816 5.0816 5.0816
angles: 132.62 132.51 69.33
With the nearest neighbours (Å) after each atom.
Element x y z (fractional)
1 In 0.4998 0.4998 0.0000  4 In 2.89, 4 Fe 2.92-2.93, 4 Tc 2.92
2 In 0.0002 0.0002 0.0000  4 In 2.89, 4 Fe 2.92-2.93, 4 Tc 2.92
3 Fe 0.2500 0.7500 0.5000  4 Tc 2.89, 8 In 2.92-2.93
4 Tc 0.7500 0.2500 0.5000  4 Fe 2.89, 8 In 2.92

## Properties
Energy relative to the elements: 0.35 eV per atom
Space-group type: I4/mmm (139)
E: -5.7240 eV/atom
ΔE to the lowest computed polymorph: 0.513 eV per formula unit

=====

No. 7
A relaxed structure of Ca4ZrPa3P8. Source: Alexandria, functional PBE-GGA.

abc: 8.0089 8.0703 8.0090
angles: 119.75 120.00 90.00
With the nearest neighbours (Å) after each atom.
Element x y z (fractional)
1 Zr 0.0000 0.5000 0.0000  6 P 2.73
2 P 0.7596 0.2723 0.5192  1 Zr 2.73, 2 Pa 2.77, 3 Ca 2.92-2.95
3 P 0.7469 0.7277 0.9873  1 Zr 2.73, 2 Pa 2.77, 3 Ca 2.92-2.95
4 P 0.7445 0.7334 0.4889  3 Pa 2.78, 3 Ca 2.91
5 P 0.7596 0.2723 0.0127  1 Zr 2.73, 2 Pa 2.77, 3 Ca 2.92-2.95
6 P 0.2404 0.7277 0.9873  1 Zr 2.73, 2 Pa 2.77, 3 Ca 2.92-2.95
7 P 0.2555 0.2666 0.5111  3 Pa 2.78, 3 Ca 2.91
8 P 0.2404 0.7277 0.4808  1 Zr 2.73, 2 Pa 2.77, 3 Ca 2.92-2.95
9 P 0.2531 0.2723 0.0127  1 Zr 2.73, 2 Pa 2.77, 3 Ca 2.92-2.95
10 Ca 0.5000 0.0000 0.5000  6 P 2.91-2.92
11 Ca 0.5000 0.0000 0.0000  6 P 2.95
12 Ca 0.0000 0.0000 0.0000  6 P 2.91-2.92
13 Ca 0.0000 0.0000 0.5000  6 P 2.91-2.92
14 Pa 0.5000 0.5000 0.5000  6 P 2.77-2.78
15 Pa 0.5000 0.5000 0.0000  6 P 2.77-2.78
16 Pa 0.0000 0.5000 0.5000  6 P 2.77-2.78

## Properties
Energy relative to the elements: -1.26 eV per atom
Space-group type: R-3m (166)
E: -6.7819 eV/atom

=====

No. 8
A relaxed structure of RbDyZnTe3. Source: Alexandria, functional PBE-GGA.

abc: 4.4230 9.9870 10.7021
angles: 110.07 90.00 90.00
With the nearest neighbours (Å) after each atom.
Element x y z (fractional)
1 Te 0.2500 0.1103 0.8621  1 Zn 2.64
2 Te 0.2500 0.5318 0.8359  3 Dy 3.05-3.08
3 Te 0.7500 0.2055 0.5400  3 Zn 2.74-2.77
4 Te 0.2500 0.7945 0.4600  3 Zn 2.74-2.77
5 Te 0.7500 0.8897 0.1379  1 Zn 2.64
6 Te 0.7500 0.4682 0.1641  3 Dy 3.05-3.08
7 Zn 0.7500 0.9169 0.3921  4 Te 2.64-2.77
8 Zn 0.2500 0.0831 0.6079  4 Te 2.64-2.77
9 Dy 0.2500 0.6713 0.1382  6 Te 3.05-3.24
10 Dy 0.7500 0.3287 0.8618  6 Te 3.05-3.24
11 Rb 0.7500 0.7869 0.7572  7 Te 3.68-3.90
12 Rb 0.2500 0.2131 0.2428  7 Te 3.68-3.90

## Properties
Space-group type: P2_1/m (11)
E: -3.7779 eV/atom
Raw formation energy: -1066.5 meV per atom

=====

No. 9
A relaxed structure of Mg2TlCl. Source: Alexandria, functional PBE-GGA.

abc: 6.3759 6.3759 6.3759
angles: 138.98 138.98 59.41
With the nearest neighbours (Å) after each atom.
Element x y z (fractional)
1 Cl 0.7500 0.2500 0.5000  4 Tl 3.16
2 Mg 0.0000 0.0000 0.0000  4 Mg 3.16
3 Mg 0.5000 0.5000 0.0000  4 Mg 3.16
4 Tl 0.2500 0.7500 0.5000  4 Cl 3.16

## Properties
Space-group type: I4/mmm (139)
E: -2.0674 eV/atom
Raw formation energy: -216.9 meV per atom
ΔE to the lowest computed polymorph: 1.176 eV per formula unit

=====

No. 10
A relaxed structure of ScBe2Al. Source: Alexandria, functional PBE-GGA.

abc: 2.8639 2.8625 6.6692
angles: 90.00 90.00 90.00
With the nearest neighbours (Å) after each atom.
Element x y z (fractional)
1 Al 0.5000 0.5000 0.8014  5 Be 2.57-2.58, 4 Al 2.86
2 Be 0.5000 0.5000 0.1883  4 Be 2.26
3 Be 0.0000 0.0000 0.0381  4 Be 2.26
4 Sc 0.0000 0.0000 0.4722  5 Be 2.77-2.89, 4 Sc 2.86, 4 Al 2.99

## Properties
Energy relative to the elements: -0.02 eV per atom
Space-group type: P4mm (99)
E: -4.4005 eV/atom

=====

No. 11
A relaxed structure of RbLi4Sb4. Source: Alexandria, functional PBE-GGA.

abc: 5.5609 9.6466 9.6466
angles: 90.00 90.00 90.00
With the nearest neighbours (Å) after each atom.
Element x y z (fractional)
1 Li 0.6197 0.1401 0.3559  5 Sb 2.78-3.01
2 Li 0.1197 0.8559 0.3599  5 Sb 2.78-3.01
3 Li 0.3803 0.6441 0.1401  5 Sb 2.78-3.01
4 Li 0.1197 0.1441 0.6401  5 Sb 2.78-3.01
5 Li 0.8803 0.6401 0.8559  5 Sb 2.78-3.01
6 Li 0.6197 0.8599 0.6441  5 Sb 2.78-3.01
7 Li 0.3803 0.3559 0.8599  5 Sb 2.78-3.01
8 Li 0.8803 0.3599 0.1441  5 Sb 2.78-3.01
9 Rb 0.5000 0.5000 0.5000  8 Sb 3.74-4.14, 4 Li 3.80
10 Rb 0.0000 0.0000 0.0000  8 Sb 3.74-4.14, 4 Li 3.80
11 Sb 0.1161 0.8324 0.6573  5 Li 2.78-3.01, 1 Sb 2.82
12 Sb 0.3839 0.6676 0.8427  5 Li 2.78-3.01, 1 Sb 2.82
13 Sb 0.8839 0.3427 0.8324  5 Li 2.78-3.01, 1 Sb 2.82
14 Sb 0.6161 0.8427 0.3324  5 Li 2.78-3.01, 1 Sb 2.82
15 Sb 0.1161 0.1676 0.3427  5 Li 2.78-3.01, 1 Sb 2.82
16 Sb 0.8839 0.6573 0.1676  5 Li 2.78-3.01, 1 Sb 2.82
17 Sb 0.6161 0.1573 0.6676  5 Li 2.78-3.01, 1 Sb 2.82
18 Sb 0.3839 0.3324 0.1573  5 Li 2.78-3.01, 1 Sb 2.82

## Properties
Space-group type: P4_2/n (86)
E: -3.1338 eV/atom
Raw formation energy: -343.5 meV per atom

=====

No. 12
A relaxed structure of HfGe3Pt. Source: Alexandria, functional PBE-GGA.

abc: 5.0833 5.0833 5.0833
angles: 90.00 90.00 90.00
With the nearest neighbours (Å) after each atom.
Element x y z (fractional)
1 Ge 0.5000 0.0000 0.0000  2 Hf 2.54
2 Ge 0.0000 0.5000 0.0000  2 Hf 2.54
3 Ge 0.0000 0.0000 0.5000  2 Hf 2.54
4 Hf 0.0000 0.0000 0.0000  6 Ge 2.54
5 Pt 0.5000 0.5000 0.5000  12 Ge 3.59

## Properties
Energy relative to the elements: 0.92 eV per atom
Space-group type: Pm-3m (221)
E: -5.0475 eV/atom

=====

No. 13
A relaxed structure of HoSc3Ge2. Source: Alexandria, functional PBE-GGA.

abc: 4.1704 9.4247 8.5519
angles: 124.34 90.00 102.78
With the nearest neighbours (Å) after each atom.
Element x y z (fractional)
1 Ho 0.1155 0.2310 0.0933  6 Ge 2.95-3.15, 1 Sc 3.27
2 Ho 0.8845 0.7690 0.9067  6 Ge 2.95-3.15, 1 Sc 3.27
3 Sc 0.6501 0.3002 0.8144  4 Ge 2.84-3.04
4 Sc 0.3092 0.6185 0.5092  4 Ge 2.83-3.09, 4 Sc 2.95-3.02
5 Sc 0.3499 0.6998 0.1856  4 Ge 2.84-3.04
6 Sc 0.6908 0.3815 0.4908  4 Ge 2.83-3.09, 4 Sc 2.95-3.02
7 Sc 0.0553 0.1106 0.4166  3 Ge 2.74-2.92, 2 Sc 3.02
8 Sc 0.9447 0.8894 0.5834  3 Ge 2.74-2.92, 2 Sc 3.02
9 Ge 0.7614 0.5227 0.2392  7 Sc 2.84-3.09, 2 Ho 3.04
10 Ge 0.4893 0.9787 0.8316  1 Ge 2.67, 3 Sc 2.74-2.83, 2 Ho 2.95
11 Ge 0.5107 0.0213 0.1684  1 Ge 2.67, 3 Sc 2.74-2.83, 2 Ho 2.95
12 Ge 0.2386 0.4773 0.7608  7 Sc 2.84-3.09, 2 Ho 3.04

## Properties
Energy relative to the elements: -0.62 eV per atom
Space-group type: C2/m (12)
E: -6.0845 eV/atom

=====

No. 14
A relaxed structure of RuSeF2. Source: Alexandria, functional PBE-GGA.

abc: 7.6677 7.6677 5.9065
angles: 49.53 49.53 90.00
With the nearest neighbours (Å) after each atom.
Element x y z (fractional)
1 Ru 0.0000 0.0000 0.0000  4 F 2.15, 2 Se 2.34
2 Ru 0.7500 0.2500 0.5000  4 F 2.15, 2 Se 2.34
3 F 0.7722 0.1250 0.2500  2 Ru 2.15
4 F 0.3750 0.2278 0.7500  2 Ru 2.15
5 F 0.9778 0.6250 0.2500  2 Ru 2.15
6 F 0.8750 0.0222 0.7500  2 Ru 2.15
7 Se 0.5000 0.5000 0.0000  2 Ru 2.34
8 Se 0.2500 0.7500 0.5000  2 Ru 2.34

## Properties
Space-group type: I-42d (122)
E: -4.6894 eV/atom
Raw formation energy: -563.6 meV per atom
ΔE to the lowest computed polymorph: 0.256 eV per formula unit

=====

No. 15
A relaxed structure of Nb2NiOs2. Source: Alexandria, functional PBE-GGA.

abc: 7.3359 7.3359 3.0866
angles: 90.00 90.00 90.00
With the nearest neighbours (Å) after each atom.
Element x y z (fractional)
1 Os 0.3615 0.8615 0.0000  6 Nb 2.59-2.69, 2 Ni 2.84, 1 Os 2.87
2 Os 0.6385 0.1385 0.0000  6 Nb 2.59-2.69, 2 Ni 2.84, 1 Os 2.87
3 Os 0.1385 0.3615 0.0000  6 Nb 2.59-2.69, 2 Ni 2.84, 1 Os 2.87
4 Os 0.8615 0.6385 0.0000  6 Nb 2.59-2.69, 2 Ni 2.84, 1 Os 2.87
5 Nb 0.6616 0.8384 0.5000  6 Os 2.59-2.69
6 Nb 0.1616 0.6616 0.5000  6 Os 2.59-2.69
7 Nb 0.3384 0.1616 0.5000  6 Os 2.59-2.69
8 Nb 0.8384 0.3384 0.5000  6 Os 2.59-2.69
9 Ni 0.0000 0.0000 0.0000  4 Os 2.84, 2 Ni 3.09, 8 Nb 3.15
10 Ni 0.5000 0.5000 0.0000  4 Os 2.84, 2 Ni 3.09, 8 Nb 3.15

## Properties
Energy relative to the elements: 0.14 eV per atom
Space-group type: P4/mbm (127)
E: -9.5326 eV/atom

=====

No. 16
A relaxed structure of Ba2TmMg12Cd3. Source: Alexandria, functional PBE-GGA.

abc: 9.8527 9.8527 9.8527
angles: 53.35 53.35 53.35
With the nearest neighbours (Å) after each atom.
Element x y z (fractional)
1 Tm 0.0000 0.0000 0.0000  12 Mg 3.07-3.31
2 Mg 0.1303 0.7855 0.7855  2 Cd 2.83, 2 Mg 3.05, 1 Tm 3.07
3 Mg 0.1718 0.1718 0.5489  4 Mg 3.20-3.34, 1 Tm 3.31, 1 Cd 3.37
4 Mg 0.2145 0.2145 0.8697  2 Cd 2.83, 2 Mg 3.05, 1 Tm 3.07
5 Mg 0.5489 0.1718 0.1718  4 Mg 3.20-3.34, 1 Tm 3.31, 1 Cd 3.37
6 Mg 0.8282 0.4511 0.8282  4 Mg 3.20-3.34, 1 Tm 3.31, 1 Cd 3.37
7 Mg 0.7855 0.1303 0.7855  2 Cd 2.83, 2 Mg 3.05, 1 Tm 3.07
8 Mg 0.4511 0.8282 0.8282  4 Mg 3.20-3.34, 1 Tm 3.31, 1 Cd 3.37
9 Mg 0.8282 0.8282 0.4511  4 Mg 3.20-3.34, 1 Tm 3.31, 1 Cd 3.37
10 Mg 0.2145 0.8697 0.2145  2 Cd 2.83, 2 Mg 3.05, 1 Tm 3.07
11 Mg 0.7855 0.7855 0.1303  2 Cd 2.83, 2 Mg 3.05, 1 Tm 3.07
12 Mg 0.1718 0.5489 0.1718  4 Mg 3.20-3.34, 1 Tm 3.31, 1 Cd 3.37
13 Mg 0.8697 0.2145 0.2145  2 Cd 2.83, 2 Mg 3.05, 1 Tm 3.07
14 Cd 0.0000 0.5000 0.0000  4 Mg 2.83
15 Cd 0.5000 0.0000 0.0000  4 Mg 2.83
16 Cd 0.0000 0.0000 0.5000  4 Mg 2.83
17 Ba 0.5819 0.5819 0.5819  6 Mg 3.37-3.61
18 Ba 0.4181 0.4181 0.4181  6 Mg 3.37-3.61

## Properties
Energy relative to the elements: 0.18 eV per atom
Space-group type: R-3m (166)
E: -1.5015 eV/atom

=====

No. 17
A relaxed structure of BaSr2OsO8. Source: Alexandria, functional PBE-GGA.

abc: 5.5011 4.5249 7.2933
angles: 71.56 90.00 89.99
With the nearest neighbours (Å) after each atom.
Element x y z (fractional)
1 Os 0.0000 0.0000 0.0000  6 O 1.87-1.91
2 O 0.2426 0.8159 0.8928  1 Os 1.87
3 O 0.2429 0.1838 0.1072  1 Os 1.87
4 O 0.5000 0.8413 0.4923  1 O 1.48
5 O 0.0000 0.6585 0.2353  1 Os 1.91
6 O 0.7571 0.8162 0.8928  1 Os 1.87
7 O 0.5000 0.1587 0.5077  1 O 1.48
8 O 0.0000 0.3415 0.7647  1 Os 1.91
9 O 0.7574 0.1841 0.1072  1 Os 1.87
10 Sr 0.5000 0.6197 0.2080  8 O 2.50-2.77
11 Sr 0.5000 0.3803 0.7920  8 O 2.50-2.77
12 Ba 0.0000 0.0000 0.5000  12 O 2.83-3.03

## Properties
Space-group type: P2/m (10)
E: -6.5738 eV/atom
Raw formation energy: -1891.9 meV per atom

=====

No. 18
A relaxed structure of CsLaPt2. Source: Alexandria, functional PBE-GGA.

abc: 5.3153 5.3153 5.3153
angles: 60.00 60.00 60.00
With the nearest neighbours (Å) after each atom.
Element x y z (fractional)
1 Pt 0.2500 0.2500 0.2500  4 La 3.25, 4 Cs 3.25
2 Pt 0.7500 0.7500 0.7500  4 La 3.25, 4 Cs 3.25
3 Cs 0.0000 0.0000 0.0000  8 Pt 3.25
4 La 0.5000 0.5000 0.5000  8 Pt 3.25

## Properties
Energy relative to the elements: -0.30 eV per atom
Space-group type: Fm-3m (225)
E: -4.7677 eV/atom
ΔE to the lowest computed polymorph: 0.152 eV per formula unit

=====

No. 19
A relaxed structure of Ba2Sn5Hg3. Source: Alexandria, functional PBE-GGA.

abc: 5.3107 5.3107 11.2802
angles: 90.00 90.00 90.00
With the nearest neighbours (Å) after each atom.
Element x y z (fractional)
1 Sn 0.5000 0.0000 0.8756  1 Hg 2.87, 4 Sn 3.00
2 Sn 0.5000 0.5000 0.0000  4 Sn 3.00
3 Sn 0.0000 0.5000 0.1244  1 Hg 2.87, 4 Sn 3.00
4 Sn 0.5000 0.5000 0.5000  4 Hg 2.99
5 Sn 0.0000 0.0000 0.0000  4 Sn 3.00
6 Ba 0.0000 0.5000 0.7414  10 Sn 3.80-4.05, 7 Hg 3.80-4.09
7 Ba 0.5000 0.0000 0.2586  7 Hg 3.80-4.09, 10 Sn 3.80-4.05
8 Hg 0.0000 0.0000 0.5000  4 Hg 2.99
9 Hg 0.0000 0.5000 0.3786  3 Sn 2.87-2.99, 2 Hg 2.99
10 Hg 0.5000 0.0000 0.6214  3 Sn 2.87-2.99, 2 Hg 2.99

## Properties
Energy relative to the elements: -0.34 eV per atom
Space-group type: P-4m2 (115)
E: -2.8204 eV/atom
ΔE to the lowest computed polymorph: 0.273 eV per formula unit